Entry 1:
An optimized crystal structure of Nb2CrH2. Source: Alexandria, functional GGA-PBEsol.

The structure belongs to space group I4/mmm (No. 139); the cell edges are 3.070, 3.070 and 11.159 Å and the angles 90.00°, 90.00° and 90.00°. The inequivalent atoms are Nb at (0.000, 0.000, 0.136), Cr at (0.000, 0.000, 0.500) and H at (0.000, 0.500, 0.250).

The raw total energy is -7.824 eV per atom.


Entry 2:
An optimized crystal structure of Nb3CrH. Source: Alexandria, functional GGA-PBEsol.

The structure belongs to space group Pm-3m (No. 221); the cell edges are 4.131, 4.131 and 4.131 Å and the angles 90.00°, 90.00° and 90.00°. The inequivalent atoms are Nb at (0.000, 0.000, 0.500), Cr at (0.500, 0.500, 0.500) and H at (0.000, 0.000, 0.000).

The raw total energy is -8.947 eV per atom.


Entry 3:
An optimized crystal structure of NbCr3H. Source: Alexandria, functional GGA-PBEsol.

The structure belongs to space group Pm-3m (No. 221); the cell edges are 3.784, 3.784 and 3.784 Å and the angles 90.00°, 90.00° and 90.00°. The inequivalent atoms are Nb at (0.000, 0.000, 0.000), Cr at (0.000, 0.500, 0.500) and H at (0.500, 0.500, 0.500).

The raw total energy is -8.674 eV per atom.


Entry 4:
An optimized crystal structure of Cr2NiH. Source: Alexandria, functional GGA-PBEsol.

The structure belongs to space group Fm-3m (No. 225); the cell edges are 5.350, 5.350 and 5.350 Å and the angles 90.00°, 90.00° and 90.00°. The inequivalent atoms are Cr at (0.250, 0.250, 0.250), Ni at (0.000, 0.000, 0.000) and H at (0.000, 0.000, 0.500).

The raw total energy is -6.812 eV per atom.